# PBE BaMn2Os, optimized geometry
data_BaMn2Os
_cell_length_a 3.080
_cell_length_b 3.080
_cell_length_c 8.122
_cell_angle_alpha 90.00
_cell_angle_beta 90.00
_cell_angle_gamma 90.00
_space_group_name_H-M_alt 'P 4 m m'
_space_group_IT_number 99
loop_
_space_group_symop_operation_xyz
'x,y,z'
'-y,x,z'
'-x,-y,z'
'y,-x,z'
'-x,y,z'
'y,x,z'
'x,-y,z'
'-y,-x,z'
loop_
_atom_site_label
_atom_site_type_symbol
_atom_site_fract_x
_atom_site_fract_y
_atom_site_fract_z
_atom_site_occupancy
Ba1 Ba 0.000 0.000 0.000 1
Mn1 Mn 0.000 0.000 0.529 1
Mn2 Mn 0.500 0.500 0.347 1
Os1 Os 0.500 0.500 0.677 1
# * total moment: 4.69 μB/f.u.
# * V: 77.08 Å³ per cell
# * energy relative to the lowest polymorph listed for this composition: 0.238 eV/atom
# * formation energy from the elements: 0.6571 eV/atom